1.
## Ba3U2CrO9 (PBE with a Hubbard U)

Data for a relaxed structure of Ba3U2CrO9.

E	-8.283	eV/atom
magnetic moment	0.400	μB per atom

```
data_Ba3U2CrO9
_symmetry_space_group_name_H-M 'P -3 m 1'
_symmetry_Int_Tables_number 164
_symmetry_space_group_name_Hall '-P 3 2"'
_cell_length_a 6.0680
_cell_length_b 6.0680
_cell_length_c 7.4829
_cell_angle_alpha 90.00
_cell_angle_beta 90.00
_cell_angle_gamma 120.00
loop_
_atom_site_label
_atom_site_type_symbol
_atom_site_fract_x
_atom_site_fract_y
_atom_site_fract_z
Ba1 Ba 0.0000 0.0000 0.0000
Ba2 Ba 0.3333 0.6667 0.6567
U1 U 0.3333 0.6667 0.1802
Cr1 Cr 0.0000 0.0000 0.5000
O1 O 0.0000 0.5000 0.0000
O2 O 0.1631 0.3261 0.3385
```

=====

2.
## MgCrW2F (PBE with a Hubbard U)

Data for a relaxed structure of MgCrW2F.

E	-3.934	eV/atom
magnetic moment	0.623	μB per atom

```
data_MgCrW2F
_symmetry_space_group_name_H-M 'P 4/m m m'
_symmetry_Int_Tables_number 123
_symmetry_space_group_name_Hall '-P 4 2'
_cell_length_a 4.5753
_cell_length_b 4.5753
_cell_length_c 3.7708
_cell_angle_alpha 90.00
_cell_angle_beta 90.00
_cell_angle_gamma 90.00
loop_
_atom_site_label
_atom_site_type_symbol
_atom_site_fract_x
_atom_site_fract_y
_atom_site_fract_z
Mg1 Mg 0.0000 0.0000 0.0000
Cr1 Cr 0.5000 0.5000 0.0000
W1 W 0.0000 0.5000 0.5000
F1 F 0.0000 0.0000 0.5000
```

=====

What did the second record say?
## MgCrW2F (PBE with a Hubbard U)

Data for a relaxed structure of MgCrW2F.

E	-3.934	eV/atom
magnetic moment	0.623	μB per atom

```
data_MgCrW2F
_symmetry_space_group_name_H-M 'P 4/m m m'
_symmetry_Int_Tables_number 123
_symmetry_space_group_name_Hall '-P 4 2'
_cell_length_a 4.5753
_cell_length_b 4.5753
_cell_length_c 3.7708
_cell_angle_alpha 90.00
_cell_angle_beta 90.00
_cell_angle_gamma 90.00
loop_
_atom_site_label
_atom_site_type_symbol
_atom_site_fract_x
_atom_site_fract_y
_atom_site_fract_z
Mg1 Mg 0.0000 0.0000 0.0000
Cr1 Cr 0.5000 0.5000 0.0000
W1 W 0.0000 0.5000 0.5000
F1 F 0.0000 0.0000 0.5000
```